No. 1
# Al2PdPt

An optimized crystal structure of Al2PdPt (PBE, Alexandria via LeMat-Bulk).

Computed properties:
Energy in eV/atom: -5.203
N(E_F) in states/eV/f.u.: 1.29
DFT formation energy in meV/atom: -523
Volume in A^3/atom: 16.4

Lattice parameters (Å, degrees): 5.5827 5.5827 5.5827 104.79 104.79 119.31
Closest atoms and distances in Å follow each position.
Element x y z (fractional)
Al1 0.1200 0.6250 0.9950  2 Pt 2.49, 2 Pd 2.53
Al2 0.3750 0.3700 0.4950  2 Pt 2.49, 2 Pd 2.53
Al3 0.6300 0.1250 0.0050  2 Pt 2.49, 2 Pd 2.53
Al4 0.8750 0.8800 0.5050  2 Pt 2.49, 2 Pd 2.53
Pd1 0.2500 0.7500 0.5000  4 Al 2.53, 2 Pt 2.82
Pd2 0.5000 0.5000 0.0000  4 Al 2.53, 2 Pt 2.82
Pt1 0.0000 0.0000 0.0000  4 Al 2.49
Pt2 0.7500 0.2500 0.5000  4 Al 2.49

No. 2
# ScIBr3

An optimized crystal structure of ScIBr3 (PBE, Alexandria via LeMat-Bulk).

Computed properties:
Formation energy from raw total energies in kJ/mol of formula units: -612
Energy in eV/atom: -3.849
N(E_F) in states/eV/f.u.: 0.00
Energy above the most stable polymorph in this dataset in meV/atom: 68
Volume in A^3/atom: 44.5

Lattice parameters (Å, degrees): 7.0370 7.6500 9.1802 96.67 102.57 109.56
Closest atoms and distances in Å follow each position.
Element x y z (fractional)
Sc1 0.0000 0.0000 0.0000  5 Br 2.58-2.71
Sc2 0.3968 0.8783 0.8070  5 Br 2.45-2.66
I1 0.6372 0.1170 0.2816  1 I 2.78, 1 Br 3.05
I2 0.9087 0.9221 0.3172  1 I 2.78
Br1 0.1658 0.0906 0.7724  2 Sc 2.65-2.66
Br2 0.1660 0.7323 0.9884  2 Sc 2.66-2.68
Br3 0.2719 0.7155 0.5382  1 Sc 2.45
Br4 0.3039 0.2852 0.1857  1 Sc 2.58
Br5 0.6398 0.6915 0.8936  2 Sc 2.63-2.71
Br6 0.7492 0.1802 0.8838  2 Sc 2.65-2.70

No. 3
# SrAlBr5

An optimized crystal structure of SrAlBr5 (PBE, Alexandria via LeMat-Bulk).

Computed properties:
Formation energy from raw total energies in kJ/mol of formula units: -1018
Energy in eV/atom: -3.478
N(E_F) in states/eV/f.u.: 0.00
Volume in A^3/atom: 41.7

Lattice parameters (Å, degrees): 7.7885 7.7885 11.0217 110.60 110.60 86.98
Closest atoms and distances in Å follow each position.
Element x y z (fractional)
Sr1 0.0000 0.0000 0.0000  6 Br 2.95-3.19
Sr2 0.0000 0.0000 0.5000  6 Br 2.95-3.19
Al1 0.4032 0.5968 0.7500  4 Br 2.33-2.34
Al2 0.5968 0.4032 0.2500  4 Br 2.33-2.34
Br1 0.0977 0.9023 0.2500  2 Sr 2.95
Br2 0.2709 0.6960 0.5634  1 Al 2.33
Br3 0.2764 0.3551 0.1706  1 Al 2.34
Br4 0.3040 0.7291 0.9366  1 Al 2.33
Br5 0.3551 0.2764 0.6706  1 Al 2.34
Br6 0.6449 0.7236 0.3294  1 Al 2.34
Br7 0.6960 0.2709 0.0634  1 Al 2.33
Br8 0.7236 0.6449 0.8294  1 Al 2.34
Br9 0.7291 0.3040 0.4366  1 Al 2.33
Br10 0.9023 0.0977 0.7500  2 Sr 2.95

No. 4
# CsKNa2

An optimized crystal structure of CsKNa2 (PBE, Alexandria via LeMat-Bulk).

Computed properties:
Energy in eV/atom: -1.109
N(E_F) in states/eV/f.u.: 2.76
Energy above the most stable polymorph in this dataset in meV/atom: 17
DFT formation energy in meV/atom: 38
Volume in A^3/atom: 62.1

Lattice parameters (Å, degrees): 7.0564 7.0564 7.0564 60.00 60.00 60.00
Closest atoms and distances in Å follow each position.
Element x y z (fractional)
Cs1 0.0000 0.0000 0.0000  8 Na 4.32
K1 0.5000 0.5000 0.5000  8 Na 4.32
Na1 0.2500 0.2500 0.2500  4 K 4.32, 4 Cs 4.32
Na2 0.7500 0.7500 0.7500  4 K 4.32, 4 Cs 4.32

No. 5
# Ac2Hg3Ge

An optimized crystal structure of Ac2Hg3Ge (PBE, Alexandria via LeMat-Bulk).

Computed properties:
Energy in eV/atom: -2.769
N(E_F) in states/eV/f.u.: 3.57
Energy above the most stable polymorph in this dataset in meV/atom: 12
DFT formation energy in meV/atom: -479
Volume in A^3/atom: 29.6

Lattice parameters (Å, degrees): 4.2971 4.8349 8.5344 90.00 90.00 90.00
Closest atoms and distances in Å follow each position.
Element x y z (fractional)
Ac1 0.0000 0.0000 0.0000  2 Ge 3.44, 10 Hg 3.46-3.77
Ac2 0.0000 0.5000 0.4571  8 Hg 3.42-3.69, 4 Ge 3.46
Hg1 0.5000 0.0000 0.6377  1 Ge 2.76, 2 Hg 2.82
Hg2 0.5000 0.5000 0.1451  2 Ge 2.82, 1 Hg 2.88
Hg3 0.5000 0.5000 0.8081  3 Hg 2.82-2.88
Ge1 0.5000 0.0000 0.3146  3 Hg 2.76-2.82

No. 6
# LiFeMo2Au

An optimized crystal structure of LiFeMo2Au (PBE, Alexandria via LeMat-Bulk).

Computed properties:
Energy in eV/atom: -6.070
N(E_F) in states/eV/f.u.: 5.84
DFT formation energy in meV/atom: 993
Volume in A^3/atom: 19.0

Lattice parameters (Å, degrees): 4.3927 4.3927 4.9150 90.00 90.00 90.00
Closest atoms and distances in Å follow each position.
Element x y z (fractional)
Li1 0.0000 0.0000 0.0000  4 Au 3.11, 8 Mo 3.30
Fe1 0.5000 0.5000 0.5000  4 Mo 2.20, 2 Au 2.46
Mo1 0.0000 0.5000 0.5000  2 Fe 2.20
Mo2 0.5000 0.0000 0.5000  2 Fe 2.20
Au1 0.5000 0.5000 0.0000  2 Fe 2.46

No. 7
# CsRb2PAu

An optimized crystal structure of CsRb2PAu (PBE, Alexandria via LeMat-Bulk).

Computed properties:
Energy in eV/atom: -2.378
N(E_F) in states/eV/f.u.: 2.68
DFT formation energy in meV/atom: -82
Volume in A^3/atom: 44.4

Lattice parameters (Å, degrees): 6.7586 6.7586 4.8600 90.00 90.00 90.00
Closest atoms and distances in Å follow each position.
Element x y z (fractional)
Cs1 0.0000 0.0000 0.0000  8 Rb 4.16
Rb1 0.0000 0.5000 0.5000  2 P 3.38
Rb2 0.5000 0.0000 0.5000  2 P 3.38
P1 0.5000 0.5000 0.5000  2 Au 2.43
Au1 0.5000 0.5000 0.0000  2 P 2.43

No. 8
# BeIn2AsP

An optimized crystal structure of BeIn2AsP (PBE, Alexandria via LeMat-Bulk).

Computed properties:
Energy in eV/atom: -2.970
N(E_F) in states/eV/f.u.: 2.97
DFT formation energy in meV/atom: 882
Volume in A^3/atom: 26.2

Lattice parameters (Å, degrees): 5.2798 5.2798 4.6935 90.00 90.00 90.00
Closest atoms and distances in Å follow each position.
Element x y z (fractional)
Be1 0.0000 0.0000 0.0000  8 In 3.53, 4 As 3.73
In1 0.0000 0.5000 0.5000  2 P 2.64
In2 0.5000 0.0000 0.5000  2 P 2.64
As1 0.5000 0.5000 0.0000  2 P 2.35
P1 0.5000 0.5000 0.5000  2 As 2.35